1.
The following is a PBE-GGA calculation of a relaxed structure of Ag4Sn3S8, from Alexandria via LeMat-Bulk. Values from VASP.

Calculated values
Fermi-level density of states = 0.141 states/eV/atom
SG = R-3m (166)
energy above the lowest structure with this stoichiometry = 11 meV per atom
formation energy without anion corrections = -3.4 eV per formula unit

The structure in Quantum ESPRESSO input format:
```
&SYSTEM
  ibrav = 0, nat = 15, ntyp = 3
/
ATOMIC_SPECIES
Ag 107.87 Ag.upf
Sn 118.71 Sn.upf
S 32.06 S.upf
CELL_PARAMETERS angstrom
3.820 2.205 6.657
-3.820 2.205 6.657
0.000 -4.410 6.657
ATOMIC_POSITIONS angstrom
Ag 0.000 0.000 0.000
Ag 0.000 0.000 2.746
Ag 0.000 0.000 9.985
Ag 0.000 0.000 17.225
Sn -1.910 -1.103 6.657
Sn -1.910 1.103 13.314
Sn 0.000 2.205 6.657
S 0.000 -2.055 8.153
S -1.779 1.027 8.153
S 0.000 0.000 5.185
S -1.779 -1.027 11.818
S 1.779 1.027 8.153
S 0.000 0.000 14.785
S 1.779 -1.027 11.818
S 0.000 2.055 11.818
```

---

2.
The following is a PBE-GGA calculation of a relaxed structure of AgSnS3, from Alexandria via LeMat-Bulk. Values from VASP.

Calculated values
Fermi-level density of states = 0.716 states/eV/atom
SG = Amm2 (38)
energy above the lowest structure with this stoichiometry = 76 meV per atom
formation energy without anion corrections = 0.0 eV per formula unit

The structure in Quantum ESPRESSO input format:
```
&SYSTEM
  ibrav = 0, nat = 10, ntyp = 3
/
ATOMIC_SPECIES
Ag 107.87 Ag.upf
Sn 118.71 Sn.upf
S 32.06 S.upf
CELL_PARAMETERS angstrom
3.665 0.000 0.000
0.000 6.889 0.000
0.000 0.000 12.575
ATOMIC_POSITIONS angstrom
Ag 0.000 0.000 0.000
Ag 0.000 3.445 6.287
Sn 1.833 0.000 8.529
Sn 1.833 3.445 2.242
S 0.000 1.718 8.159
S 0.000 1.726 1.872
S 0.000 5.163 1.872
S 0.000 5.171 8.159
S 1.833 0.000 11.008
S 1.833 3.445 4.720
```

---

3.
The following is a PBE-GGA calculation of a relaxed structure of Ag3Sn2S6, from Alexandria via LeMat-Bulk. Values from VASP.

Calculated values
Fermi-level density of states = 0.439 states/eV/atom
SG = C2/c (15)
formation energy without anion corrections = -1.3 eV per formula unit

The structure in Quantum ESPRESSO input format:
```
&SYSTEM
  ibrav = 0, nat = 22, ntyp = 3
/
ATOMIC_SPECIES
Ag 107.87 Ag.upf
Sn 118.71 Sn.upf
S 32.06 S.upf
CELL_PARAMETERS angstrom
5.460 -3.383 0.000
5.460 3.383 0.000
-0.144 0.000 13.273
ATOMIC_POSITIONS angstrom
Ag 5.352 2.519 9.955
Ag 3.821 1.463 3.314
Ag 7.028 1.463 3.323
Ag 3.749 -1.463 9.950
Ag 6.956 -1.463 9.959
Ag 5.424 -2.519 3.318
Sn 3.413 0.000 13.268
Sn 3.485 0.000 6.631
Sn 7.364 0.000 0.005
Sn 7.292 0.000 6.642
S 3.352 2.094 11.703
S 3.402 2.074 8.230
S 5.390 1.240 5.354
S 5.459 1.240 1.283
S 7.353 2.094 8.206
S 7.303 2.074 11.680
S 3.474 -2.074 1.593
S 3.424 -2.094 5.067
S 5.318 -1.240 11.990
S 5.387 -1.240 7.919
S 7.375 -2.074 5.043
S 7.425 -2.094 1.570
```

---

4.
The following is a PBE-GGA calculation of a relaxed structure of Ag2SnS4, from Alexandria via LeMat-Bulk. Values from VASP.

Calculated values
Fermi-level density of states = 0.910 states/eV/atom
SG = I4/mmm (139)
energy above the lowest structure with this stoichiometry = 442 meV per atom
formation energy without anion corrections = 2.4 eV per formula unit

The structure in Quantum ESPRESSO input format:
```
&SYSTEM
  ibrav = 0, nat = 14, ntyp = 3
/
ATOMIC_SPECIES
Ag 107.87 Ag.upf
Sn 118.71 Sn.upf
S 32.06 S.upf
CELL_PARAMETERS angstrom
5.156 0.000 0.000
0.000 5.156 0.000
0.000 0.000 12.573
ATOMIC_POSITIONS angstrom
Ag 0.000 0.000 1.364
Ag 0.000 0.000 11.209
Ag 2.578 2.578 4.922
Ag 2.578 2.578 7.650
Sn 0.000 0.000 6.286
Sn 2.578 2.578 0.000
S 0.000 0.000 3.793
S 0.000 0.000 8.780
S 0.000 2.578 0.000
S 0.000 2.578 6.286
S 2.578 0.000 0.000
S 2.578 0.000 6.286
S 2.578 2.578 2.494
S 2.578 2.578 10.079
```

---

5.
The following is a PBE-GGA calculation of a relaxed structure of AgSn3S, from Alexandria via LeMat-Bulk. Values from VASP.

Calculated values
Fermi-level density of states = 0.695 states/eV/atom
SG = Pm-3m (221)
energy above the lowest structure with this stoichiometry = 0 meV per atom
formation energy without anion corrections = 1.9 eV per formula unit

The structure in Quantum ESPRESSO input format:
```
&SYSTEM
  ibrav = 0, nat = 5, ntyp = 3
/
ATOMIC_SPECIES
Ag 107.87 Ag.upf
Sn 118.71 Sn.upf
S 32.06 S.upf
CELL_PARAMETERS angstrom
5.330 0.000 0.000
0.000 5.330 0.000
0.000 0.000 5.330
ATOMIC_POSITIONS angstrom
Ag 0.000 0.000 0.000
Sn 0.000 2.665 2.665
Sn 2.665 0.000 2.665
Sn 2.665 2.665 0.000
S 2.665 2.665 2.665
```

---

6.
The following is a PBE-GGA calculation of a relaxed structure of AgSn2S4, from Alexandria via LeMat-Bulk. Values from VASP.

Calculated values
Fermi-level density of states = 0.347 states/eV/atom
SG = Imma (74)
energy above the lowest structure with this stoichiometry = 81 meV per atom
formation energy without anion corrections = -1.5 eV per formula unit

The structure in Quantum ESPRESSO input format:
```
&SYSTEM
  ibrav = 0, nat = 14, ntyp = 3
/
ATOMIC_SPECIES
Ag 107.87 Ag.upf
Sn 118.71 Sn.upf
S 32.06 S.upf
CELL_PARAMETERS angstrom
-3.892 3.903 5.580
3.892 -3.903 5.580
3.892 3.903 -5.580
ATOMIC_POSITIONS angstrom
Ag -1.946 1.952 2.790
Ag 1.946 1.952 2.790
Sn 0.000 0.000 0.000
Sn 3.892 1.952 -1.592
Sn 0.000 3.903 0.000
Sn 0.000 1.952 7.171
S 0.000 0.120 2.618
S 1.877 1.952 0.025
S 2.016 -1.952 5.604
S 3.892 0.120 2.962
S 0.000 3.783 2.618
S 1.877 5.855 -0.025
S 2.016 1.952 5.555
S 3.892 3.783 2.962
```

---

7.
The following is a PBE-GGA calculation of a relaxed structure of Ag3Sn2S4, from Alexandria via LeMat-Bulk. Values from VASP.

Calculated values
Fermi-level density of states = 0.431 states/eV/atom
SG = C2/c (15)
formation energy without anion corrections = -1.5 eV per formula unit

The structure in Quantum ESPRESSO input format:
```
&SYSTEM
  ibrav = 0, nat = 18, ntyp = 3
/
ATOMIC_SPECIES
Ag 107.87 Ag.upf
Sn 118.71 Sn.upf
S 32.06 S.upf
CELL_PARAMETERS angstrom
5.511 -5.892 0.000
5.511 5.892 0.000
-1.259 0.000 6.283
ATOMIC_POSITIONS angstrom
Ag 4.566 3.094 4.712
Ag 3.860 0.974 2.650
Ag 3.230 -0.974 5.791
Ag 6.531 0.974 0.492
Ag 5.902 -0.974 3.633
Ag 5.196 -3.094 1.571
Sn 0.552 1.381 5.228
Sn 1.182 -1.381 2.087
Sn 8.580 1.381 4.196
Sn 9.210 -1.381 1.055
S 1.351 1.182 2.767
S 4.157 1.768 0.033
S 0.722 -1.182 5.909
S 6.234 1.768 3.109
S 3.527 -1.768 3.174
S 9.040 1.182 0.374
S 5.605 -1.768 6.250
S 8.410 -1.182 3.515
```

---

8.
The following is a PBE-GGA calculation of a relaxed structure of Ag3SnS3, from Alexandria via LeMat-Bulk. Values from VASP.

Calculated values
Fermi-level density of states = 0.078 states/eV/atom
SG = P2_1/c (14)
energy above the lowest structure with this stoichiometry = 0 meV per atom
formation energy without anion corrections = -1.0 eV per formula unit

The structure in Quantum ESPRESSO input format:
```
&SYSTEM
  ibrav = 0, nat = 28, ntyp = 3
/
ATOMIC_SPECIES
Ag 107.87 Ag.upf
Sn 118.71 Sn.upf
S 32.06 S.upf
CELL_PARAMETERS angstrom
4.923 0.000 0.000
0.000 6.701 0.000
-1.158 0.000 20.280
ATOMIC_POSITIONS angstrom
Ag -0.238 1.527 5.213
Ag -0.817 1.823 15.353
Ag 0.641 0.302 8.578
Ag 0.063 3.049 18.719
Ag 1.287 0.163 14.013
Ag 1.866 3.188 3.873
Ag 1.899 3.513 16.408
Ag 2.478 6.538 6.268
Ag 3.703 3.652 1.562
Ag 3.124 6.399 11.702
Ag 4.582 4.878 4.928
Ag 4.004 5.174 15.068
Sn 1.229 0.331 1.482
Sn 0.650 3.019 11.622
Sn 3.115 3.682 8.659
Sn 2.537 6.370 18.799
S 0.077 0.468 18.941
S 0.656 2.883 8.801
S 0.633 0.499 11.697
S 1.212 2.852 1.556
S 0.605 3.473 14.351
S 1.184 6.579 4.211
S 2.581 0.122 16.069
S 3.160 3.228 5.929
S 2.553 3.849 18.724
S 3.132 6.202 8.584
S 3.109 3.818 11.480
S 3.688 6.233 1.340
```

---

Question: Which formula does entry 6 have?
Answer: AgSn2S4

---

Question: Number 2 is which compound?
Answer: AgSnS3